(1)
Zr3NbZn2 | GGA-PBE | relaxed

a b c (Å): 7.699 7.699 6.556
angles (deg): 90.00 90.00 143.23
Fractional coordinates of all 12 atoms:
Zr 0.000 0.000 0.249
Zr 0.000 0.000 0.751
Zr 0.334 0.666 0.249
Zr 0.334 0.666 0.751
Zr 0.666 0.334 0.249
Zr 0.666 0.334 0.751
Nb 0.166 0.834 0.000
Nb 0.834 0.166 0.000
Zn 0.167 0.833 0.500
Zn 0.500 0.500 0.000
Zn 0.500 0.500 0.500
Zn 0.833 0.167 0.500

Output
E_form: -0.15 eV/atom
Fermi-level density of states: 5.9 states/eV/f.u.
polymorph energy (0 for the lowest one): 12 meV per atom
total moment: 0.00 μB per formula unit

(2)
PmGdCdIr | GGA-PBE | relaxed

a b c (Å): 5.130 5.130 5.130
angles (deg): 60.00 60.00 60.00
Fractional coordinates of all 4 atoms:
Pm 0.000 0.000 0.000
Gd 0.500 0.500 0.500
Cd 0.250 0.250 0.250
Ir 0.750 0.750 0.750

Output
E_form: -0.48 eV/atom
Fermi-level density of states: 2.7 states/eV/f.u.
total moment: 7.06 μB per formula unit

(3)
MgInAu6 | GGA-PBE | relaxed

a b c (Å): 4.834 5.834 5.834
angles (deg): 63.68 90.00 90.00
Fractional coordinates of all 8 atoms:
Mg 0.000 0.000 0.000
In 0.500 0.326 0.326
Au 0.000 0.501 0.501
Au 0.000 0.501 0.998
Au 0.000 0.998 0.501
Au 0.500 0.320 0.830
Au 0.500 0.826 0.826
Au 0.500 0.830 0.320

Output
E_form: -0.25 eV/atom
Fermi-level density of states: 1.7 states/eV/f.u.
polymorph energy (0 for the lowest one): 0 meV per atom
total moment: 0.00 μB per formula unit

(4)
AcLa12Nd3 | GGA-PBE | relaxed

a b c (Å): 5.280 5.280 21.101
angles (deg): 90.00 90.00 90.00
Fractional coordinates of all 16 atoms:
Ac 0.000 0.000 0.000
La 0.000 0.500 0.129
La 0.000 0.500 0.376
La 0.000 0.500 0.624
La 0.000 0.500 0.871
La 0.500 0.000 0.129
La 0.500 0.000 0.376
La 0.500 0.000 0.624
La 0.500 0.000 0.871
La 0.500 0.500 0.000
La 0.500 0.500 0.253
La 0.500 0.500 0.500
La 0.500 0.500 0.747
Nd 0.000 0.000 0.253
Nd 0.000 0.000 0.500
Nd 0.000 0.000 0.747

Output
E_form: 0.01 eV/atom
Fermi-level density of states: 27.9 states/eV/f.u.
total moment: 0.00 μB per formula unit

(5)
PuMgGePd | GGA-PBE | relaxed

a b c (Å): 4.841 4.841 4.841
angles (deg): 60.00 60.00 60.00
Fractional coordinates of all 4 atoms:
Pu 0.000 0.000 0.000
Mg 0.500 0.500 0.500
Ge 0.750 0.750 0.750
Pd 0.250 0.250 0.250

Output
E_form: -0.41 eV/atom
Fermi-level density of states: 10.1 states/eV/f.u.
total moment: 5.27 μB per formula unit

(6)
CsScS4 | GGA-PBE | relaxed

a b c (Å): 5.789 5.789 8.555
angles (deg): 90.00 90.00 90.00
Fractional coordinates of all 12 atoms:
Cs 0.250 0.250 0.000
Cs 0.750 0.750 0.000
Sc 0.250 0.250 0.500
Sc 0.750 0.750 0.500
S 0.121 0.621 0.322
S 0.121 0.879 0.678
S 0.379 0.621 0.678
S 0.379 0.879 0.322
S 0.621 0.121 0.678
S 0.621 0.379 0.322
S 0.879 0.121 0.322
S 0.879 0.379 0.678

Output
E_form (uncorrected): -1.098 eV per atom
total moment: 0.00 μB per formula unit